{"formula": "Cr4Ir2Rh3", "functional": "PBE", "state": "optimized geometry", "crystal_system": "monoclinic", "delta_e_f_mev_per_atom": -98, "space_group": "C2/m, No. 12", "magmom_total_mub_per_fu": 0.0, "lattice_angstrom": [[4.507, 0.439, -0.566], [2.630, 3.702, -0.453], [-1.095, -0.902, 7.813]], "species": ["Cr", "Cr", "Cr", "Cr", "Ir", "Ir", "Rh", "Rh", "Rh"], "fractional_positions": [[0.667, 0.667, 0.892], [0.999, 0.999, 0.332], [0.001, 0.001, 0.668], [0.333, 0.333, 0.108], [0.331, 0.331, 0.784], [0.669, 0.669, 0.216], [0.336, 0.336, 0.439], [0.000, 0.000, 0.000], [0.664, 0.664, 0.561]]}



{"formula": "CrIrRh2", "functional": "PBE", "state": "optimized geometry", "crystal_system": "tetragonal", "delta_e_f_mev_per_atom": 156, "space_group": "P4mm, No. 99", "magmom_total_mub_per_fu": 1.6, "lattice_angstrom": [[3.237, 0.000, 0.000], [0.000, 3.237, 0.000], [0.000, 0.000, 5.415]], "species": ["Cr", "Ir", "Rh", "Rh"], "fractional_positions": [[0.000, 0.000, 0.503], [0.500, 0.500, 0.742], [0.000, 0.000, 0.999], [0.500, 0.500, 0.257]]}



{"formula": "CrIr2Rh7", "functional": "PBE", "state": "optimized geometry", "crystal_system": "orthorhombic", "delta_e_f_mev_per_atom": 427, "space_group": "Cmmm, No. 65", "magmom_total_mub_per_fu": 2.1, "lattice_angstrom": [[-1.602, -0.942, 1.886], [-5.259, -2.922, -5.926], [6.303, -4.773, 2.969]], "species": ["Cr", "Ir", "Ir", "Rh", "Rh", "Rh", "Rh", "Rh", "Rh", "Rh"], "fractional_positions": [[0.000, 0.000, 0.000], [0.500, 0.807, 0.193], [0.500, 0.193, 0.807], [0.000, 0.659, 0.341], [0.000, 0.341, 0.659], [0.500, 0.140, 0.322], [0.500, 0.860, 0.678], [0.500, 0.322, 0.140], [0.500, 0.678, 0.860], [0.500, 0.500, 0.500]]}



{"formula": "Cr4Ir7Rh", "functional": "PBE", "state": "optimized geometry", "crystal_system": "triclinic", "delta_e_f_mev_per_atom": -171, "space_group": "P-1, No. 2", "magmom_total_mub_per_fu": 0.0, "lattice_angstrom": [[-0.474, 2.394, -4.814], [-6.836, 1.385, -1.611], [-1.201, 6.509, -2.711]], "species": ["Cr", "Cr", "Cr", "Cr", "Ir", "Ir", "Ir", "Ir", "Ir", "Ir", "Ir", "Rh"], "fractional_positions": [[0.355, 0.344, 0.713], [0.645, 0.656, 0.287], [0.889, 0.660, 0.777], [0.111, 0.340, 0.223], [0.752, 0.012, 0.498], [0.248, 0.988, 0.502], [0.141, 0.661, 0.281], [0.859, 0.339, 0.719], [0.375, 0.652, 0.785], [0.500, 0.000, 0.000], [0.625, 0.348, 0.215], [0.000, 0.000, 0.000]]}



{"formula": "CrIrRh2", "functional": "PBE", "state": "optimized geometry", "crystal_system": "tetragonal", "delta_e_f_mev_per_atom": -108, "space_group": "I-4m2, No. 119", "magmom_total_mub_per_fu": 1.3, "lattice_angstrom": [[-2.349, -3.227, 2.392], [0.150, -4.032, -2.317], [3.356, 2.959, 1.276]], "species": ["Cr", "Ir", "Rh", "Rh"], "fractional_positions": [[0.500, 0.500, 0.000], [0.250, 0.750, 0.500], [0.000, 0.000, 0.000], [0.750, 0.250, 0.500]]}



{"formula": "CrIrRh3", "functional": "PBE", "state": "optimized geometry", "crystal_system": "trigonal", "delta_e_f_mev_per_atom": 924, "space_group": "R-3m, No. 166", "magmom_total_mub_per_fu": 1.0, "lattice_angstrom": [[-2.289, -2.155, 4.259], [-0.756, -5.234, 0.235], [2.624, -2.911, 3.227]], "species": ["Cr", "Ir", "Rh", "Rh", "Rh"], "fractional_positions": [[0.475, 0.475, 0.575], [0.975, 0.975, 0.075], [0.475, 0.975, 0.575], [0.975, 0.475, 0.575], [0.975, 0.975, 0.575]]}



{"formula": "Cr2Ir9Rh", "functional": "PBE", "state": "optimized geometry", "crystal_system": "triclinic", "delta_e_f_mev_per_atom": 79, "space_group": "P-1, No. 2", "magmom_total_mub_per_fu": 2.7, "lattice_angstrom": [[-0.504, -6.023, -2.116], [4.035, -4.855, -1.485], [0.820, -5.008, 4.792]], "species": ["Cr", "Cr", "Ir", "Ir", "Ir", "Ir", "Ir", "Ir", "Ir", "Ir", "Ir", "Rh"], "fractional_positions": [[0.030, 0.166, 0.569], [0.970, 0.834, 0.431], [0.360, 0.458, 0.931], [0.640, 0.542, 0.069], [0.500, 0.500, 0.500], [0.575, 0.754, 0.659], [0.767, 0.925, 0.814], [0.167, 0.336, 0.748], [0.425, 0.246, 0.341], [0.833, 0.664, 0.252], [0.233, 0.075, 0.186], [0.000, 0.000, 0.000]]}



{"formula": "Cr2Ir3Rh2", "functional": "PBE", "state": "optimized geometry", "crystal_system": "monoclinic", "delta_e_f_mev_per_atom": 12, "space_group": "C2/m, No. 12", "magmom_total_mub_per_fu": 0.0, "lattice_angstrom": [[2.560, 0.508, 0.810], [0.415, 4.604, 0.422], [2.267, 3.061, 9.368]], "species": ["Cr", "Cr", "Ir", "Ir", "Ir", "Rh", "Rh"], "fractional_positions": [[0.534, 0.479, 0.114], [0.466, 0.521, 0.886], [0.027, 0.686, 0.565], [0.000, 0.000, 0.000], [0.973, 0.314, 0.435], [0.031, 0.049, 0.722], [0.969, 0.951, 0.278]]}



{"formula": "Cr4IrRh7", "functional": "PBE", "state": "optimized geometry", "crystal_system": "monoclinic", "delta_e_f_mev_per_atom": 381, "space_group": "C2/m, No. 12", "magmom_total_mub_per_fu": 0.1, "lattice_angstrom": [[-1.043, -1.731, 4.163], [5.544, -2.842, 2.779], [2.220, 3.902, 4.750]], "species": ["Cr", "Cr", "Cr", "Cr", "Ir", "Rh", "Rh", "Rh", "Rh", "Rh", "Rh", "Rh"], "fractional_positions": [[0.548, 0.276, 0.628], [0.452, 0.724, 0.372], [0.692, 0.636, 0.981], [0.308, 0.364, 0.019], [0.000, 0.000, 0.000], [0.775, 0.883, 0.566], [0.225, 0.117, 0.434], [0.066, 0.586, 0.281], [0.934, 0.414, 0.719], [0.270, 0.698, 0.763], [0.500, 0.000, 0.000], [0.730, 0.302, 0.237]]}



{"formula": "CrIr2Rh7", "functional": "PBE", "state": "optimized geometry", "crystal_system": "orthorhombic", "delta_e_f_mev_per_atom": 633, "space_group": "Cmmm, No. 65", "magmom_total_mub_per_fu": 1.7, "lattice_angstrom": [[-1.564, 2.513, 2.617], [-5.240, -4.897, 1.570], [6.410, 0.272, 3.570]], "species": ["Cr", "Ir", "Ir", "Rh", "Rh", "Rh", "Rh", "Rh", "Rh", "Rh"], "fractional_positions": [[0.000, 0.000, 0.000], [0.500, 0.696, 0.304], [0.500, 0.304, 0.696], [0.000, 0.807, 0.193], [0.000, 0.193, 0.807], [0.500, 0.084, 0.289], [0.500, 0.916, 0.711], [0.500, 0.289, 0.084], [0.500, 0.711, 0.916], [0.500, 0.500, 0.500]]}



{"formula": "CrIrRh4", "functional": "PBE", "state": "optimized geometry", "crystal_system": "orthorhombic", "delta_e_f_mev_per_atom": -122, "space_group": "Cmmm, No. 65", "magmom_total_mub_per_fu": 0.8, "lattice_angstrom": [[3.613, 0.000, -1.225], [0.000, 3.818, 0.000], [0.032, 0.000, 6.033]], "species": ["Cr", "Ir", "Rh", "Rh", "Rh", "Rh"], "fractional_positions": [[0.000, 0.000, 0.000], [0.500, 0.500, 0.000], [0.339, 0.000, 0.677], [0.661, 0.000, 0.323], [0.837, 0.500, 0.674], [0.163, 0.500, 0.326]]}



{"formula": "CrIrRh3", "functional": "PBE", "state": "optimized geometry", "crystal_system": "orthorhombic", "delta_e_f_mev_per_atom": 286, "space_group": "Pnma, No. 62", "magmom_total_mub_per_fu": 1.4, "lattice_angstrom": [[4.659, 0.000, 0.000], [-0.001, 7.031, 0.000], [0.000, 0.000, 8.944]], "species": ["Cr", "Cr", "Cr", "Cr", "Ir", "Ir", "Ir", "Ir", "Rh", "Rh", "Rh", "Rh", "Rh", "Rh", "Rh", "Rh", "Rh", "Rh", "Rh", "Rh"], "fractional_positions": [[0.500, 0.000, 0.000], [0.000, 0.500, 0.500], [0.000, 0.500, 0.000], [0.500, 0.000, 0.500], [0.389, 0.326, 0.250], [0.889, 0.174, 0.750], [0.611, 0.674, 0.750], [0.111, 0.826, 0.250], [0.002, 0.160, 0.071], [0.502, 0.340, 0.571], [0.502, 0.340, 0.929], [0.998, 0.840, 0.571], [0.998, 0.840, 0.929], [0.498, 0.660, 0.429], [0.498, 0.660, 0.071], [0.002, 0.160, 0.429], [0.628, 0.977, 0.250], [0.127, 0.523, 0.750], [0.372, 0.023, 0.750], [0.873, 0.477, 0.250]]}